Computed, not measured: Te2O5 after structural relaxation at the PBEsol level of DFT.

abc: 4.7102 5.4608 7.9678
angles: 103.17 90.00 90.00
With the nearest neighbours (Å) after each atom.
Fractional positions:
Te1 0.4880 0.7422 0.9889  6 O 1.88-1.99
O1 0.6754 0.6674 0.7754  2 Te 1.88-2.08
Te2 0.8979 0.8668 0.6252  4 O 1.90-2.08
O2 0.7251 0.0335 0.1021  2 Te 1.98-1.99
O3 0.5506 0.8714 0.5045  2 Te 1.90-2.07
O4 0.1754 0.3326 0.2246  2 Te 1.88-2.08
O5 0.7260 0.5297 0.0973  2 Te 1.93-1.95
O6 0.0506 0.1286 0.4955  2 Te 1.90-2.07
O7 0.2884 0.8307 0.2074  2 Te 1.94
O8 0.7884 0.1693 0.7926  2 Te 1.94
Te3 0.9880 0.2578 0.0111  6 O 1.88-1.99
O9 0.2251 0.9665 0.8979  2 Te 1.98-1.99
O10 0.2260 0.4703 0.9027  2 Te 1.93-1.95
Te4 0.3979 0.1332 0.3748  4 O 1.90-2.08

Output
V: 99.8 Å³/f.u.
Fermi-level density of states: 0.00 states/eV per cell
Space group: No. 4
Formation energy from raw total energies: -643 kJ/mol of formula units